Here is a relaxed BaSrZnTe3 crystal from the Open Quantum Materials Database. Energies are from PBE.

Calculated values
As for the symmetry: Pnma (62). The calculation puts the relative energy among the computed polymorphs at 0 meV/atom. The total energy is -3.6710 eV per atom. The calculation puts the calculated volume at 847.2 Å³/cell.

The structure in CIF format:
```
data_BaSrZnTe3
_space_group_name_H-M_alt 'P 1'
_space_group_IT_number 1
_space_group_name_Hall 'P 1'
_cell_length_a 10.014
_cell_length_b 4.657
_cell_length_c 18.167
_cell_angle_alpha 90.00
_cell_angle_beta 90.00
_cell_angle_gamma 90.00
loop_
_atom_site_label
_atom_site_type_symbol
_atom_site_fract_x
_atom_site_fract_y
_atom_site_fract_z
Zn1 Zn 0.860 0.250 0.865
Zn2 Zn 0.140 0.750 0.135
Zn3 Zn 0.640 0.750 0.365
Zn4 Zn 0.360 0.250 0.635
Te1 Te 0.499 0.750 0.601
Te2 Te 0.314 0.250 0.781
Te3 Te 0.632 0.250 0.940
Te4 Te 0.001 0.250 0.101
Te5 Te 0.686 0.750 0.219
Te6 Te 0.868 0.750 0.440
Te7 Te 0.501 0.250 0.399
Te8 Te 0.368 0.750 0.060
Te9 Te 0.186 0.750 0.281
Te10 Te 0.814 0.250 0.719
Te11 Te 0.132 0.250 0.560
Te12 Te 0.999 0.750 0.899
Ba1 Ba 0.420 0.250 0.207
Ba2 Ba 0.080 0.750 0.707
Ba3 Ba 0.920 0.250 0.293
Ba4 Ba 0.580 0.750 0.793
Sr1 Sr 0.276 0.750 0.460
Sr2 Sr 0.224 0.250 0.960
Sr3 Sr 0.776 0.750 0.040
Sr4 Sr 0.724 0.250 0.540
```